[1]
Entry from Alexandria: Cr3Se2ClO8 after structural relaxation (GGA+U).

- total energy (eV per atom) = -6.238

Lattice parameters (Å, degrees): 7.9254 6.4324 10.2328 90.00 107.77 90.00
Last column: nearest neighbours and their distance in Å.
Space group P2_1/m (No. 11)
Inequivalent atoms, fractional coordinates:
Cr: 0.0000 0.0000 0.0000 [2 per cell]  4 O 1.99-2.00
Cr: 0.0000 0.0000 0.5000 [2 per cell]  4 O 1.91-1.94
Cr: 0.1935 0.2500 0.2948 [2 per cell]  4 O 1.85-2.02
Se: 0.3701 0.2500 0.6340 [2 per cell]  3 O 1.71-1.75
Se: 0.3784 0.2500 0.0520 [2 per cell]  3 O 1.73-1.74
Cl: 0.1103 0.7500 0.1922 [2 per cell]  2 Cr 2.48
O: 0.0347 0.2500 0.4053 [2 per cell]  3 Cr 1.93-1.94
O: 0.0368 0.2500 0.1192 [2 per cell]  3 Cr 1.85-1.99
O: 0.2309 0.0360 0.6270 [4 per cell]  1 Se 1.75, 1 Cr 1.91
O: 0.2455 0.0369 0.9891 [4 per cell]  1 Se 1.73
O: 0.3932 0.2500 0.4734 [2 per cell]  1 Se 1.71
O: 0.3976 0.2500 0.2262 [2 per cell]  1 Se 1.74, 1 Cr 1.95



[2]
Entry from Alexandria: YCr3Se2ClO8 after structural relaxation (GGA+U).

- total energy (eV per atom) = -6.822

Lattice parameters (Å, degrees): 6.6066 9.7895 7.1400 90.00 90.00 90.00
Last column: nearest neighbours and their distance in Å.
Space group Pmmn (No. 59, origin choice 2)
Inequivalent atoms, fractional coordinates:
Y: 0.2500 0.2500 0.2348 [2 per cell]  6 O 2.26-2.50
Cr: 0.0000 0.0000 0.5000 [4 per cell]  4 O 2.00-2.10
Cr: 0.2500 0.2500 0.7053 [2 per cell]  4 O 2.01-2.08
Se: 0.2500 0.5624 0.9119 [4 per cell]  3 O 1.74
Cl: 0.2500 0.7500 0.3527 [2 per cell]  6 Cr 3.13-3.33
O: 0.0443 0.5900 0.7645 [8 per cell]  1 Se 1.74
O: 0.2500 0.1153 0.4925 [4 per cell]  3 Cr 2.00-2.01
O: 0.2500 0.1150 0.9295 [4 per cell]  1 Se 1.74



[3]
Entry from Alexandria: Sr2CrClO4 after structural relaxation (GGA+U).

- total energy (eV per atom) = -6.399

Lattice parameters (Å, degrees): 6.6256 7.5537 11.5923 90.00 90.00 90.00
Last column: nearest neighbours and their distance in Å.
Space group Pbcm (No. 57)
Inequivalent atoms, fractional coordinates:
Sr: 0.1254 0.2500 0.0000 [4 per cell]  6 O 2.56-2.66
Sr: 0.3620 0.5347 0.2500 [4 per cell]  6 O 2.59-2.72
Cr: 0.3719 0.7500 0.0000 [4 per cell]  4 O 1.72-1.73
Cl: 0.0046 0.6896 0.7500 [4 per cell]  4 Sr 2.96-3.15
O: 0.2130 0.5767 0.0335 [8 per cell]  1 Cr 1.72
O: 0.4696 0.2304 0.6182 [8 per cell]  1 Cr 1.73



[4]
Entry from Alexandria: Sr5Cr3ClO12 after structural relaxation (GGA+U).

- total energy (eV per atom) = -6.674

Lattice parameters (Å, degrees): 10.3015 10.3015 7.3728 90.00 90.00 120.00
Last column: nearest neighbours and their distance in Å.
Space group P6_3/m (No. 176)
Inequivalent atoms, fractional coordinates:
Sr: 0.0015 0.7481 0.2500 [6 per cell]  5 O 2.47-2.70
Sr: 0.3333 0.6667 0.5013 [4 per cell]  6 O 2.60-2.61
Cr: 0.0312 0.4057 0.2500 [6 per cell]  4 O 1.72-1.74
Cl: 0.0000 0.0000 0.0000 [2 per cell]  6 Sr 3.19, 6 O 3.31
O: 0.0947 0.3546 0.0626 [12 per cell]  1 Cr 1.72
O: 0.1306 0.6002 0.2500 [6 per cell]  1 Cr 1.74
O: 0.1621 0.6813 0.7500 [6 per cell]  1 Cr 1.73



[5]
Entry from Alexandria: CrTcClO4 after structural relaxation (GGA+U).

- total energy (eV per atom) = -7.053

Lattice parameters (Å, degrees): 9.4062 7.4859 9.1358 90.00 120.57 90.00
Last column: nearest neighbours and their distance in Å.
Space group C2/m (No. 12)
Inequivalent atoms, fractional coordinates:
Cr: 0.1771 0.0000 0.2041 [4 per cell]  2 O 2.06-2.08
Tc: 0.1288 0.5000 0.3251 [4 per cell]  4 O 1.73-1.76
Cl: 0.1181 0.0000 0.9153 [4 per cell]  2 Cr 2.40-2.41
O: 0.0736 0.5000 0.7112 [4 per cell]  1 Tc 1.76
O: 0.1615 0.3123 0.2351 [8 per cell]  1 Tc 1.73
O: 0.2292 0.0000 0.4548 [4 per cell]  1 Tc 1.76



[6]
Entry from Alexandria: TlCrClO4 after structural relaxation (GGA+U).

- total energy (eV per atom) = -5.414

Lattice parameters (Å, degrees): 9.2212 7.1887 9.3229 90.00 118.90 90.00
Last column: nearest neighbours and their distance in Å.
Space group C2/m (No. 12)
Inequivalent atoms, fractional coordinates:
Tl: 0.0478 0.0000 0.2241 [4 per cell]  4 O 2.22-2.31
Cr: 0.1880 0.5000 0.3329 [4 per cell]  4 O 1.65-1.68
Cl: 0.2124 0.0000 0.0552 [4 per cell]  2 Tl 2.55-2.66
O: 0.0735 0.3144 0.2384 [8 per cell]  1 Cr 1.67
O: 0.1364 0.0000 0.6741 [4 per cell]  1 Cr 1.65
O: 0.2305 0.5000 0.5299 [4 per cell]  1 Cr 1.68



[7]
Entry from Alexandria: TmCrClO4 after structural relaxation (GGA+U).

- total energy (eV per atom) = -6.827

Lattice parameters (Å, degrees): 9.8905 7.1036 6.6138 90.00 105.56 90.00
Last column: nearest neighbours and their distance in Å.
Space group C2/m (No. 12)
Inequivalent atoms, fractional coordinates:
Tm: 0.2234 0.0000 0.1124 [4 per cell]  6 O 2.28-2.48
Cr: 0.1397 0.5000 0.2697 [4 per cell]  4 O 1.64-1.70
Cl: 0.0134 0.0000 0.7633 [4 per cell]  2 Tm 2.66-2.68, 1 O 2.96
O: 0.0318 0.5000 0.7732 [4 per cell]  1 Cr 1.64
O: 0.1927 0.3151 0.1477 [8 per cell]  1 Cr 1.70
O: 0.2141 0.5000 0.5227 [4 per cell]  1 Cr 1.64



[8]
Entry from Alexandria: UCr3Cl2O6 after structural relaxation (GGA+U).

- total energy (eV per atom) = -7.615

Lattice parameters (Å, degrees): 11.0958 6.1249 5.4589 90.00 108.12 90.00
Last column: nearest neighbours and their distance in Å.
Space group C2/m (No. 12)
Inequivalent atoms, fractional coordinates:
U: 0.0000 0.0000 0.0000 [2 per cell]  6 O 2.12
Cr: 0.0000 0.5000 0.5000 [2 per cell]  4 O 2.18
Cr: 0.2500 0.2500 0.0000 [4 per cell]  4 O 1.97-2.05
Cl: 0.2096 0.5000 0.2950 [4 per cell]  2 Cr 2.36
O: 0.0610 0.2480 0.7938 [8 per cell]  2 Cr 2.05-2.18, 1 U 2.12
O: 0.2000 0.0000 0.1729 [4 per cell]  2 Cr 1.97, 1 U 2.12



> Look up the total energy of the sixth one.

-5.414 eV per atom